First-principles (PBE-GGA) data for a relaxed LaTb5Tm4 crystal, as listed in the Alexandria database.

Summary:
energy relative to the elements	0.186	eV per atom
DOS at the Fermi energy	13.70	states/eV/cell
energy above the lowest structure with this stoichiometry	0	meV/atom

Cell lengths 3.5391, 10.8383, 8.7916 Å; angles 90.14, 101.66, 90.01 degrees
Last column: nearest neighbours and their distance in Å.
Sites, in units of the cell vectors:
1 Tm 0.3497 0.7500 0.6995  4 Tm 3.50-3.54, 7 Tb 3.68-3.79, 1 La 3.74
2 Tm 0.6503 0.2500 0.3005  4 Tm 3.50-3.54, 7 Tb 3.68-3.79, 1 La 3.74
3 Tm 0.9744 0.2532 0.9497  4 Tb 3.24-3.34, 2 La 3.29-3.30, 4 Tm 3.50-3.54
4 Tb 0.1736 0.5529 0.3472  2 Tm 3.31-3.71, 6 Tb 3.37-3.54
5 Tm 0.0256 0.7468 0.0503  4 Tb 3.24-3.34, 2 La 3.29-3.30, 4 Tm 3.50-3.54
6 Tb 0.5000 0.5000 0.0000  4 Tm 3.24, 6 Tb 3.52-3.54
7 Tb 0.8257 0.0563 0.6506  2 Tm 3.34-3.68, 4 Tb 3.37-3.54, 2 La 3.54-3.55
8 Tb 0.1743 0.9437 0.3494  2 Tm 3.34-3.68, 4 Tb 3.37-3.54, 2 La 3.54-3.55
9 Tb 0.8264 0.4471 0.6528  2 Tm 3.31-3.71, 6 Tb 3.37-3.54
10 La 0.5000 0.0000 0.0000  4 Tm 3.29-3.30, 2 La 3.54, 4 Tb 3.54-3.55